Compound: YErGa4
Source: OQMD
Functional: PBE
Structure: optimized geometry

Output
E = -4.48 eV/atom
Space-group type = P-6m2
Size of the total moment = 0.020 μB per cell

a b c (Å): 4.362 4.362 7.343
angles (deg): 90.00 90.00 120.00
Positions (direct):
Ga 0.333 0.667 0.758
Ga 0.667 0.333 0.749
Y 0.000 0.000 0.500
Ga 0.333 0.667 0.242
Ga 0.667 0.333 0.251
Er 0.000 0.000 0.000

Compound: YEr3Ga4
Source: OQMD
Functional: PBE
Structure: optimized geometry

Output
E = -4.67 eV/atom
Space-group type = Amm2
Size of the total moment = 0.003 μB per cell

a b c (Å): 6.590 6.916 6.916
angles (deg): 36.41 90.00 90.00
Positions (direct):
Ga 0.304 0.902 0.902
Y 0.000 0.447 0.447
Ga 0.803 0.098 0.098
Ga 0.696 0.902 0.902
Er 0.500 0.277 0.277
Er 0.000 0.723 0.723
Ga 0.197 0.098 0.098
Er 0.500 0.553 0.553

Compound: YEr4Ga15
Source: OQMD
Functional: PBE
Structure: optimized geometry

Output
E = -4.03 eV/atom
Space-group type = R-3m
Size of the total moment = 0.006 μB per cell

a b c (Å): 12.366 12.366 12.366
angles (deg): 28.57 28.57 28.57
Positions (direct):
Ga 0.635 0.133 0.635
Ga 0.500 0.500 0.000
Er 0.400 0.400 0.400
Ga 0.882 0.436 0.882
Ga 0.365 0.867 0.365
Ga 0.500 0.000 0.500
Ga 0.000 0.500 0.500
Ga 0.133 0.635 0.635
Ga 0.365 0.365 0.867
Ga 0.564 0.118 0.118
Y 0.000 0.000 0.000
Ga 0.118 0.564 0.118
Er 0.130 0.130 0.130
Ga 0.867 0.365 0.365
Er 0.870 0.870 0.870
Ga 0.436 0.882 0.882
Ga 0.882 0.882 0.436
Er 0.600 0.600 0.600
Ga 0.118 0.118 0.564
Ga 0.635 0.635 0.133

Question: The lowest E belongs to which entry?
Answer: YEr3Ga4

Question: Look up the E of the third one.
Answer: -4.03 eV/atom